1.
The following is a GGA-PBE calculation of IrRu2Pt after structural relaxation, from Alexandria.

Cell: 4.747 4.747 2.730 Å, 90.00 90.00 109.95°
Sites, in units of the cell vectors:
Ir (0.000, 0.000, 0.000)
Ru (0.000, 0.500, 0.500)
Ru (0.500, 0.000, 0.500)
Pt (0.500, 0.500, 0.000)

Total moment: 0.00 Bohr magnetons per cell
DOS at the Fermi energy: 5.7 states/eV/f.u.
Relative energy among the computed polymorphs: 1.139 kcal/mol of atoms
Energy relative to the elements: 0.044 eV per atom

---

2.
The following is a GGA-PBE calculation of IrRuPt4 after structural relaxation, from Alexandria.

Cell: 5.090 7.308 10.722 Å, 90.00 106.14 90.00°
Sites, in units of the cell vectors:
Ir (0.184, 0.005, 0.124)
Ir (0.184, 0.495, 0.624)
Ir (0.816, 0.505, 0.376)
Ir (0.816, 0.995, 0.876)
Ru (0.319, 0.503, 0.880)
Ru (0.319, 0.997, 0.380)
Ru (0.681, 0.003, 0.620)
Ru (0.681, 0.497, 0.120)
Pt (0.003, 0.682, 0.005)
Pt (0.003, 0.818, 0.505)
Pt (0.149, 0.169, 0.757)
Pt (0.149, 0.331, 0.257)
Pt (0.349, 0.672, 0.242)
Pt (0.349, 0.828, 0.742)
Pt (0.497, 0.184, 0.996)
Pt (0.497, 0.316, 0.496)
Pt (0.503, 0.684, 0.504)
Pt (0.503, 0.816, 0.004)
Pt (0.651, 0.172, 0.258)
Pt (0.651, 0.328, 0.758)
Pt (0.851, 0.669, 0.743)
Pt (0.851, 0.831, 0.243)
Pt (0.997, 0.182, 0.495)
Pt (0.997, 0.318, 0.995)

Total moment: 0.00 Bohr magnetons per cell
DOS at the Fermi energy: 7.8 states/eV/f.u.
Relative energy among the computed polymorphs: 0.000 kcal/mol of atoms
Energy relative to the elements: 0.220 eV per atom

---

3.
The following is a GGA-PBE calculation of Ir2RuPt2 after structural relaxation, from Alexandria.

Cell: 7.340 7.340 7.340 Å, 158.39 149.32 37.84°
Sites, in units of the cell vectors:
Ir (0.095, 0.095, 0.000)
Ir (0.905, 0.905, 0.000)
Ru (0.500, 0.500, 0.000)
Pt (0.303, 0.303, 0.000)
Pt (0.697, 0.697, 0.000)

Total moment: 0.00 Bohr magnetons per cell
DOS at the Fermi energy: 5.8 states/eV/f.u.
Energy relative to the elements: 0.001 eV per atom

---

4.
The following is a GGA-PBE calculation of Ir4RuPt after structural relaxation, from Alexandria.

Cell: 5.159 5.173 7.095 Å, 89.34 72.79 88.90°
Sites, in units of the cell vectors:
Ir (0.056, 0.052, 0.173)
Ir (0.161, 0.548, 0.215)
Ir (0.297, 0.683, 0.544)
Ir (0.432, 0.813, 0.872)
Ir (0.568, 0.187, 0.128)
Ir (0.703, 0.317, 0.456)
Ir (0.839, 0.452, 0.785)
Ir (0.944, 0.948, 0.827)
Ru (0.191, 0.180, 0.490)
Ru (0.809, 0.820, 0.510)
Pt (0.322, 0.312, 0.830)
Pt (0.678, 0.688, 0.170)

Total moment: 0.00 Bohr magnetons per cell
DOS at the Fermi energy: 6.4 states/eV/f.u.
Relative energy among the computed polymorphs: 0.000 kcal/mol of atoms
Energy relative to the elements: 0.143 eV per atom

---

5.
The following is a GGA-PBE calculation of Ir4Ru3Pt after structural relaxation, from Alexandria.

Cell: 9.095 9.095 5.207 Å, 105.37 105.37 16.96°
Sites, in units of the cell vectors:
Ir (0.125, 0.125, 0.385)
Ir (0.264, 0.264, 0.273)
Ir (0.736, 0.736, 0.727)
Ir (0.875, 0.875, 0.615)
Ru (0.133, 0.133, 0.895)
Ru (0.500, 0.500, 0.500)
Ru (0.867, 0.867, 0.105)
Pt (0.000, 0.000, 0.000)

Total moment: 0.00 Bohr magnetons per cell
DOS at the Fermi energy: 9.9 states/eV/f.u.
Energy relative to the elements: 0.330 eV per atom

---

6.
The following is a GGA-PBE calculation of IrRu2Pt after structural relaxation, from Alexandria.

Cell: 4.752 4.752 4.752 Å, 132.18 132.18 69.94°
Sites, in units of the cell vectors:
Ir (0.000, 0.000, 0.000)
Ru (0.250, 0.750, 0.500)
Ru (0.750, 0.250, 0.500)
Pt (0.500, 0.500, 0.000)

Total moment: 0.00 Bohr magnetons per cell
DOS at the Fermi energy: 4.6 states/eV/f.u.
Relative energy among the computed polymorphs: 0.836 kcal/mol of atoms
Energy relative to the elements: 0.031 eV per atom

---

7.
The following is a GGA-PBE calculation of IrRu2Pt after structural relaxation, from Alexandria.

Cell: 2.726 2.726 7.786 Å, 90.00 90.00 90.00°
Sites, in units of the cell vectors:
Ir (0.000, 0.000, 0.000)
Ru (0.500, 0.500, 0.243)
Ru (0.500, 0.500, 0.757)
Pt (0.000, 0.000, 0.500)

Total moment: 0.00 Bohr magnetons per cell
DOS at the Fermi energy: 4.8 states/eV/f.u.
Relative energy among the computed polymorphs: 0.386 kcal/mol of atoms
Energy relative to the elements: 0.011 eV per atom

---

8.
The following is a GGA-PBE calculation of Ir4RuPt after structural relaxation, from Alexandria.

Cell: 5.127 5.127 5.127 Å, 60.00 60.00 60.00°
Sites, in units of the cell vectors:
Ir (0.125, 0.125, 0.125)
Ir (0.125, 0.125, 0.625)
Ir (0.125, 0.625, 0.125)
Ir (0.625, 0.125, 0.125)
Ru (0.750, 0.750, 0.750)
Pt (0.500, 0.500, 0.500)

Total moment: 1.88 Bohr magnetons per cell
DOS at the Fermi energy: 11.1 states/eV/f.u.
Relative energy among the computed polymorphs: 11.286 kcal/mol of atoms
Energy relative to the elements: 0.633 eV per atom

---

9.
The following is a GGA-PBE calculation of IrRu2Pt after structural relaxation, from Alexandria.

Cell: 9.123 9.123 9.123 Å, 17.24 17.24 17.24°
Sites, in units of the cell vectors:
Ir (0.000, 0.000, 0.000)
Ru (0.493, 0.493, 0.493)
Ru (0.747, 0.747, 0.747)
Pt (0.246, 0.246, 0.246)

Total moment: 0.00 Bohr magnetons per cell
DOS at the Fermi energy: 6.1 states/eV/f.u.
Relative energy among the computed polymorphs: 1.320 kcal/mol of atoms
Energy relative to the elements: 0.052 eV per atom

---

10.
The following is a GGA-PBE calculation of TaIrRuPt after structural relaxation, from Alexandria.

Cell: 3.860 3.933 4.001 Å, 90.00 90.00 90.00°
Sites, in units of the cell vectors:
Ta (0.000, 0.000, 0.000)
Ir (0.500, 0.000, 0.500)
Ru (0.500, 0.500, 0.000)
Pt (0.000, 0.500, 0.500)

Total moment: 0.00 Bohr magnetons per cell
DOS at the Fermi energy: 1.7 states/eV/f.u.
Energy relative to the elements: -0.599 eV per atom

---

11.
The following is a GGA-PBE calculation of TaIr2RuPt after structural relaxation, from Alexandria.

Cell: 4.723 4.723 4.834 Å, 90.00 90.00 90.00°
Sites, in units of the cell vectors:
Ta (0.000, 0.000, 0.000)
Ir (0.000, 0.500, 0.000)
Ir (0.500, 0.000, 0.000)
Ru (0.500, 0.500, 0.500)
Pt (0.000, 0.000, 0.500)

Total moment: 2.88 Bohr magnetons per cell
DOS at the Fermi energy: 4.4 states/eV/f.u.
Energy relative to the elements: 1.675 eV per atom

---

12.
The following is a GGA-PBE calculation of TcIrRuPt after structural relaxation, from Alexandria.

Cell: 2.701 4.267 5.309 Å, 90.00 104.66 90.00°
Sites, in units of the cell vectors:
Tc (0.000, 0.000, 0.000)
Ir (0.404, 0.500, 0.806)
Ru (0.655, 0.500, 0.307)
Pt (0.257, 0.000, 0.512)

Total moment: 0.00 Bohr magnetons per cell
DOS at the Fermi energy: 3.0 states/eV/f.u.
Energy relative to the elements: 0.025 eV per atom

---

> Which formula does entry 10 have?

TaIrRuPt

---

> Which of these has the lowest DOS at the Fermi energy?

TaIrRuPt

---

> What is the energy relative to the elements in the second record?

0.220 eV per atom